No. 1
The following is a DFT calculation (GGA-PBE) of LaHg2Ru after structural relaxation.

Cell lengths 5.0535, 5.0535, 5.0535 Å; angles 60.00, 60.00, 60.00 degrees
Last column: nearest neighbours and their distance in Å.
Fractional coordinates of all 4 atoms:
Hg1 0.0000 0.0000 0.0000  4 Ru 3.09, 4 Hg 3.09
Hg2 0.2500 0.2500 0.2500  4 Hg 3.09, 4 La 3.09
La1 0.5000 0.5000 0.5000  4 Hg 3.09, 4 Ru 3.09
Ru1 0.7500 0.7500 0.7500  4 Hg 3.09, 4 La 3.09

Computed properties:
Energy of formation: 93 meV/atom
V: 22.81 Å³/atom

No. 2
The following is a DFT calculation (GGA-PBE) of LaHg2Ru after structural relaxation.

Cell lengths 5.0765, 5.0765, 5.0765 Å; angles 60.00, 60.00, 60.00 degrees
Last column: nearest neighbours and their distance in Å.
Fractional coordinates of all 4 atoms:
Ru1 0.0000 0.0000 0.0000  8 Hg 3.11
Hg1 0.2500 0.2500 0.2500  4 La 3.11, 4 Ru 3.11
Hg2 0.7500 0.7500 0.7500  4 Ru 3.11, 4 La 3.11
La1 0.5000 0.5000 0.5000  8 Hg 3.11

Computed properties:
Energy of formation: 90 meV/atom
V: 23.13 Å³/atom

No. 3
The following is a DFT calculation (GGA-PBE) of La3HgRu after structural relaxation.

Cell lengths 5.4852, 5.4852, 5.4852 Å; angles 90.00, 90.00, 90.00 degrees
Last column: nearest neighbours and their distance in Å.
Fractional coordinates of all 5 atoms:
Ru1 0.0000 0.0000 0.0000  6 La 2.74
Hg1 0.5000 0.5000 0.5000  12 La 3.88
La1 0.0000 0.5000 0.0000  2 Ru 2.74
La2 0.0000 0.0000 0.5000  2 Ru 2.74
La3 0.5000 0.0000 0.0000  2 Ru 2.74

Computed properties:
Energy of formation: -270 meV/atom
V: 33.01 Å³/atom

No. 4
The following is a DFT calculation (GGA-PBE) of La3HgRu after structural relaxation.

Cell lengths 3.9956, 6.4646, 6.4646 Å; angles 75.22, 90.00, 90.00 degrees
Last column: nearest neighbours and their distance in Å.
Fractional coordinates of all 5 atoms:
Ru1 0.0000 0.6873 0.3127  5 La 2.80-2.99, 2 Hg 3.04
Hg1 0.5000 0.3975 0.6025  2 Ru 3.04, 4 La 3.29-3.30
La1 0.5000 0.5512 0.0746  2 Ru 2.80
La2 0.5000 0.9254 0.4488  2 Ru 2.80
La3 0.0000 0.0666 0.9334  1 Ru 2.99, 2 Hg 3.29

Computed properties:
Energy of formation: -188 meV/atom
V: 32.29 Å³/atom